Mn6GaGe: optimized geometry, PBE.

```
Mn6GaGe
1.0
5.150 0.000 0.000
-2.575 4.460 0.000
0.000 0.000 4.168
Mn Ga Ge
6 1 1
Direct
0.841 0.159 0.500
0.162 0.838 0.000
0.676 0.838 0.000
0.319 0.159 0.500
0.162 0.324 0.000
0.841 0.681 0.500
0.333 0.667 0.500
0.667 0.333 0.000
```

## Properties
**Space-group type**: P-6m2 (187)
**M_tot**: 1.090 μB/atom
**Energy relative to the elements**: 0.01 eV per atom